Entry 1:
The following is a DFT calculation (PBE) of crystalline KCo at its relaxed geometry.

The structure in POSCAR format:
```
KCo
1.0
6.668 0.056 0.000
-4.433 4.981 0.000
0.000 0.000 3.597
Co K
2 2
Direct
0.551 0.449 0.750 Co
0.449 0.551 0.250 Co
0.857 0.143 0.750 K
0.143 0.857 0.250 K
```

Values from the calculation:
Offset from the most stable computed form   184 meV per atom
Magnetization   1.82 μB/f.u.
Formation energy from the elements   0.81 eV/atom
Electronic total energy   -3.30 eV/atom
DOS at the Fermi energy   0.87 states/eV per atom



Entry 2:
The following is a DFT calculation (PBE) of crystalline K3Co2 at its relaxed geometry.

The structure in POSCAR format:
```
K3Co2
1.0
-4.898 0.157 0.169
2.427 -3.486 2.450
0.462 5.872 7.897
K Co
3 2
Direct
0.000 0.000 0.000 K
0.667 0.333 0.697 K
0.333 0.667 0.303 K
0.667 0.333 0.018 Co
0.333 0.667 0.982 Co
```

Values from the calculation:
Offset from the most stable computed form   0 meV per atom
Magnetization   3.25 μB/f.u.
Formation energy from the elements   1.01 eV/atom
Electronic total energy   -2.49 eV/atom
DOS at the Fermi energy   1.38 states/eV per atom



Entry 3:
The following is a DFT calculation (PBE) of crystalline KCo at its relaxed geometry.

The structure in POSCAR format:
```
KCo
1.0
5.133 -3.623 1.926
6.328 -1.484 -0.971
3.075 5.400 5.254
K Co
3 3
Direct
0.331 0.331 0.055 K
0.050 0.050 0.322 K
0.276 0.276 0.644 K
0.023 0.023 0.850 Co
0.607 0.607 0.937 Co
0.546 0.546 0.692 Co
```

Values from the calculation:
Offset from the most stable computed form   86 meV per atom
Magnetization   1.73 μB/f.u.
Formation energy from the elements   0.71 eV/atom
Electronic total energy   -3.39 eV/atom
DOS at the Fermi energy   1.17 states/eV per atom



Entry 4:
The following is a DFT calculation (PBE) of crystalline K4Co at its relaxed geometry.

The structure in POSCAR format:
```
K4Co
1.0
6.638 0.000 0.000
0.000 6.638 0.000
0.000 0.000 6.638
K Co
4 1
Direct
0.000 0.000 0.000 K
0.500 0.000 0.500 K
0.000 0.500 0.500 K
0.500 0.500 0.000 K
0.500 0.500 0.500 Co
```

Values from the calculation:
Offset from the most stable computed form   0 meV per atom
Magnetization   1.74 μB/f.u.
Formation energy from the elements   0.59 eV/atom
Electronic total energy   -1.71 eV/atom
DOS at the Fermi energy   1.02 states/eV per atom



Entry 5:
The following is a DFT calculation (PBE) of crystalline KCo at its relaxed geometry.

The structure in POSCAR format:
```
KCo
1.0
-1.579 -0.299 2.898
2.902 0.171 1.598
1.873 10.092 2.060
Co K
2 2
Direct
0.000 0.103 0.898 Co
0.500 0.647 0.852 Co
0.000 0.392 0.591 K
0.500 0.358 0.159 K
```

Values from the calculation:
Offset from the most stable computed form   19 meV per atom
Magnetization   1.66 μB/f.u.
Formation energy from the elements   0.64 eV/atom
Electronic total energy   -3.46 eV/atom
DOS at the Fermi energy   0.60 states/eV per atom



Entry 6:
The following is a DFT calculation (PBE) of crystalline KCo at its relaxed geometry.

The structure in POSCAR format:
```
KCo
1.0
-4.521 0.996 5.044
-5.141 -0.915 -4.428
0.030 -6.711 1.352
K Co
4 4
Direct
0.000 0.000 0.000 K
0.000 0.500 0.500 K
0.500 0.000 0.500 K
0.500 0.500 0.000 K
0.500 0.500 0.500 Co
0.500 0.000 0.000 Co
0.000 0.500 0.000 Co
0.000 0.000 0.500 Co
```

Values from the calculation:
Offset from the most stable computed form   996 meV per atom
Magnetization   2.00 μB/f.u.
Formation energy from the elements   1.62 eV/atom
Electronic total energy   -2.48 eV/atom
DOS at the Fermi energy   2.60 states/eV per atom